BaHgH2 | PBE | optimized geometry Values from VASP.

Values from the calculation:
**Excess energy over the best structure of this formula in the dataset**: 45 meV per atom
**SG**: Fm-3m (225)
**V**: 19.68 A^3/atom
**E**: -2.4905 eV per atom

```
&SYSTEM
  ibrav = 0, nat = 4, ntyp = 3
/
ATOMIC_SPECIES
H 1.01 H.upf
Hg 200.59 Hg.upf
Ba 137.33 Ba.upf
CELL_PARAMETERS angstrom
0.000 3.401 3.401
3.401 0.000 3.401
3.401 3.401 0.000
ATOMIC_POSITIONS angstrom
H 1.701 1.701 1.701
H 5.102 5.102 5.102
Hg 3.401 3.401 3.401
Ba 0.000 0.000 0.000
```